Material: LiLuW2O8
Method: DFT, PBE with a Hubbard U
State: optimized geometry

a = 5.081 Å, b = 5.911 Å, c = 10.953 Å
α = 90.00°, β = 115.71°, γ = 90.00°
Space group P2/c (No. 13)
Symmetry-distinct sites (fractional):
Li (0.000, 0.215, 0.250) (multiplicity 2)
Lu (0.500, 0.166, 0.750) (multiplicity 2)
W (0.262, 0.328, 0.008) (multiplicity 4)
O (0.165, 0.390, 0.601) (multiplicity 4)
O (0.236, 0.130, 0.131) (multiplicity 4)
O (0.275, 0.135, 0.880) (multiplicity 4)
O (0.335, 0.402, 0.392) (multiplicity 4)

Values from the calculation:
The volume is 12.350 Å³ per atom. The calculation puts the total energy at -0.2748 hartree per atom. The density of states at the Fermi level comes out at 0.00 states/eV/f.u.